# 1
Below is a geometry-optimized Tb2PN structure, with properties calculated at the PBE-GGA level.

Computed properties:
Formation energy (no corrections) ... -464 kJ/mol of formula units

Cell lengths 3.663, 3.663, 6.919 Å; angles 74.65, 74.65, 60.00 degrees
Fractional coordinates of all 4 atoms:
Tb (0.092, 0.092, 0.724)
Tb (0.244, 0.244, 0.267)
P (0.667, 0.667, 0.999)
N (0.497, 0.497, 0.509)

=====

# 2
Below is a geometry-optimized Tb12P3N5 structure, with properties calculated at the PBE-GGA level.

Computed properties:
Formation energy (no corrections) ... -2139 kJ/mol of formula units

Cell lengths 13.098, 13.098, 13.098 Å; angles 109.47, 109.47, 109.47 degrees
Fractional coordinates of all 80 atoms:
P (0.750, 0.375, 0.125)
P (0.875, 0.750, 0.125)
P (0.375, 0.750, 0.625)
P (0.250, 0.125, 0.375)
P (0.875, 0.125, 0.250)
P (0.375, 0.625, 0.250)
P (0.625, 0.375, 0.750)
P (0.125, 0.875, 0.750)
P (0.750, 0.875, 0.625)
P (0.625, 0.250, 0.375)
P (0.125, 0.250, 0.875)
P (0.250, 0.625, 0.875)
Tb (0.706, 0.118, 0.023)
Tb (0.317, 0.523, 0.405)
Tb (0.977, 0.382, 0.294)
Tb (0.523, 0.206, 0.118)
Tb (0.588, 0.706, 0.683)
Tb (0.977, 0.595, 0.183)
Tb (0.317, 0.794, 0.412)
Tb (0.095, 0.912, 0.118)
Tb (0.595, 0.977, 0.683)
Tb (0.706, 0.588, 0.183)
Tb (0.794, 0.477, 0.382)
Tb (0.817, 0.905, 0.023)
Tb (0.118, 0.706, 0.523)
Tb (0.382, 0.405, 0.088)
Tb (0.088, 0.905, 0.382)
Tb (0.412, 0.118, 0.595)
Tb (0.088, 0.183, 0.206)
Tb (0.477, 0.683, 0.095)
Tb (0.817, 0.912, 0.294)
Tb (0.118, 0.412, 0.095)
Tb (0.382, 0.977, 0.794)
Tb (0.595, 0.618, 0.412)
Tb (0.905, 0.817, 0.523)
Tb (0.794, 0.317, 0.912)
Tb (0.405, 0.382, 0.588)
Tb (0.095, 0.183, 0.477)
Tb (0.206, 0.683, 0.088)
Tb (0.183, 0.088, 0.706)
Tb (0.618, 0.023, 0.206)
Tb (0.882, 0.588, 0.905)
Tb (0.523, 0.317, 0.905)
Tb (0.588, 0.882, 0.405)
Tb (0.912, 0.817, 0.794)
Tb (0.912, 0.095, 0.618)
Tb (0.882, 0.294, 0.477)
Tb (0.183, 0.095, 0.977)
Tb (0.618, 0.595, 0.912)
Tb (0.405, 0.023, 0.317)
Tb (0.294, 0.412, 0.817)
Tb (0.206, 0.523, 0.618)
Tb (0.905, 0.088, 0.882)
Tb (0.683, 0.206, 0.588)
Tb (0.477, 0.794, 0.882)
Tb (0.023, 0.405, 0.817)
Tb (0.412, 0.294, 0.317)
Tb (0.023, 0.618, 0.706)
Tb (0.683, 0.477, 0.595)
Tb (0.294, 0.882, 0.977)
N (0.125, 0.375, 0.250)
N (0.000, 0.500, 0.000)
N (0.000, 0.000, 0.000)
N (0.375, 0.250, 0.125)
N (0.500, 0.000, 0.500)
N (0.500, 0.500, 0.000)
N (0.125, 0.750, 0.375)
N (0.750, 0.125, 0.875)
N (0.750, 0.625, 0.375)
N (0.375, 0.125, 0.750)
N (0.625, 0.875, 0.250)
N (0.500, 0.500, 0.500)
N (0.500, 0.000, 0.000)
N (0.000, 0.000, 0.500)
N (0.250, 0.375, 0.625)
N (0.250, 0.875, 0.125)
N (0.000, 0.500, 0.500)
N (0.875, 0.250, 0.625)
N (0.625, 0.750, 0.875)
N (0.875, 0.625, 0.750)